Record 1
The following is a meta-GGA SCAN calculation of a PBEsol-optimized structure of HfGa3Re, from Alexandria via LeMat-Bulk.

```
data_HfGa3Re
_space_group_name_H-M_alt 'P m -3 m'
_space_group_IT_number 221
_space_group_name_Hall '-P 4 2 3'
_cell_length_a 4.932
_cell_length_b 4.932
_cell_length_c 4.932
_cell_angle_alpha 90.00
_cell_angle_beta 90.00
_cell_angle_gamma 90.00
loop_
_atom_site_label
_atom_site_fract_x
_atom_site_fract_y
_atom_site_fract_z
_atom_site_occupancy
Hf1 0.000 0.000 0.000 1
Ga1 0.000 0.000 0.500 1
Re1 0.500 0.500 0.500 1
```

Values from the calculation:
E_form	157.2	kJ per mole of atoms
mass density	7.9	g/cm3
total magnetic moment	3.6	μB/f.u.

---

Record 2
The following is a meta-GGA SCAN calculation of a PBEsol-optimized structure of Hf2GaReRh, from Alexandria via LeMat-Bulk.

```
data_Hf2GaReRh
_space_group_name_H-M_alt 'P 4/m m m'
_space_group_IT_number 123
_space_group_name_Hall '-P 4 2'
_cell_length_a 4.810
_cell_length_b 4.810
_cell_length_c 4.434
_cell_angle_alpha 90.00
_cell_angle_beta 90.00
_cell_angle_gamma 90.00
loop_
_atom_site_label
_atom_site_fract_x
_atom_site_fract_y
_atom_site_fract_z
_atom_site_occupancy
Hf1 0.000 0.500 0.000 1
Ga1 0.000 0.000 0.500 1
Re1 0.500 0.500 0.500 1
Rh1 0.000 0.000 0.000 1
```

Values from the calculation:
E_form	61.1	kJ per mole of atoms
mass density	11.6	g/cm3
total magnetic moment	0.0	μB/f.u.

---

Record 3
The following is a meta-GGA SCAN calculation of a PBEsol-optimized structure of Hf2ScGaRh, from Alexandria via LeMat-Bulk.

```
data_Hf2ScGaRh
_space_group_name_H-M_alt 'P 4/m m m'
_space_group_IT_number 123
_space_group_name_Hall '-P 4 2'
_cell_length_a 4.714
_cell_length_b 4.714
_cell_length_c 4.718
_cell_angle_alpha 90.00
_cell_angle_beta 90.00
_cell_angle_gamma 90.00
loop_
_atom_site_label
_atom_site_fract_x
_atom_site_fract_y
_atom_site_fract_z
_atom_site_occupancy
Hf1 0.000 0.500 0.000 1
Sc1 0.000 0.000 0.000 1
Ga1 0.000 0.000 0.500 1
Rh1 0.500 0.500 0.500 1
```

Values from the calculation:
E_form	130.3	kJ per mole of atoms
mass density	9.1	g/cm3
total magnetic moment	0.0	μB/f.u.

---

The highest E_form belongs to which entry? HfGa3Re